w | This record from Alexandria describes crystalline CaAc2Rh at its relaxed geometry. The functional is GGA-PBE.

Unit cell a=10.3658 b=10.3658 c=10.3658 alpha=23.70 beta=23.70 gamma=23.70
Atoms (fractional coordinates):
Ca (0.0000, 0.0000, 0.0000)
Ac (0.2214, 0.2214, 0.2214)
Ac (0.7786, 0.7786, 0.7786)
Rh (0.5000, 0.5000, 0.5000)

## Properties
The space group is R-3m (166). The density of states at the Fermi level is 4.32 states/eV per cell.

x | This record from Alexandria describes crystalline CaAc2Rh at its relaxed geometry. The functional is GGA-PBE.

Unit cell a=3.7970 b=3.7970 c=9.8610 alpha=90.00 beta=90.00 gamma=90.00
Atoms (fractional coordinates):
Ca (0.0000, 0.0000, 0.0000)
Ac (0.5000, 0.5000, 0.3234)
Ac (0.5000, 0.5000, 0.6766)
Rh (0.0000, 0.0000, 0.5000)

## Properties
The space group is P4/mmm (123). The density of states at the Fermi level is 4.13 states/eV per cell.

Tell me which of them is the least stable. Sure, it is x.

w | This record from Alexandria describes crystalline CaAc2Rh at its relaxed geometry. The functional is GGA-PBE.

Unit cell a=7.2559 b=6.7825 c=12.3921 alpha=90.00 beta=90.00 gamma=90.00
Atoms (fractional coordinates):
Ca (0.0853, 0.2500, 0.2500)
Ca (0.4147, 0.7500, 0.2500)
Ca (0.5853, 0.2500, 0.7500)
Ca (0.9147, 0.7500, 0.7500)
Ac (0.0822, 0.2378, 0.5842)
Ac (0.0822, 0.2622, 0.9158)
Ac (0.4178, 0.7378, 0.9158)
Ac (0.4178, 0.7622, 0.5842)
Ac (0.5822, 0.2378, 0.4158)
Ac (0.5822, 0.2622, 0.0842)
Ac (0.9178, 0.7378, 0.0842)
Ac (0.9178, 0.7622, 0.4158)
Rh (0.2500, 0.0000, 0.4143)
Rh (0.2500, 0.5000, 0.0857)
Rh (0.7500, 0.0000, 0.5857)
Rh (0.7500, 0.5000, 0.9143)

## Properties
The space group is Pnna (52). The density of states at the Fermi level is 13.04 states/eV per cell.

x | This record from Alexandria describes crystalline CaAc2Rh at its relaxed geometry. The functional is GGA-PBE.

Unit cell a=10.2952 b=10.2952 c=10.2952 alpha=23.98 beta=23.98 gamma=23.98
Atoms (fractional coordinates):
Ca (0.0000, 0.0000, 0.0000)
Ac (0.5537, 0.5537, 0.5537)
Ac (0.7776, 0.7776, 0.7776)
Rh (0.1652, 0.1652, 0.1652)

## Properties
The space group is R3m (160). The density of states at the Fermi level is 4.30 states/eV per cell.

Tell me which of them is the least stable. Sure, it is x.

w | This record from Alexandria describes crystalline CaAc4Ru2 at its relaxed geometry. The functional is GGA-PBE.

Unit cell a=7.7863 b=7.3156 c=9.2088 alpha=90.00 beta=114.27 gamma=90.00
Atoms (fractional coordinates):
Ca (0.0083, 0.2500, 0.2746)
Ca (0.9917, 0.7500, 0.7254)
Ac (0.2360, 0.2500, 0.7149)
Ac (0.2879, 0.5008, 0.0829)
Ac (0.2879, 0.9992, 0.0829)
Ac (0.3173, 0.7500, 0.5040)
Ac (0.6827, 0.2500, 0.4960)
Ac (0.7121, 0.0008, 0.9171)
Ac (0.7121, 0.4992, 0.9171)
Ac (0.7640, 0.7500, 0.2851)
Ru (0.0366, 0.7500, 0.1565)
Ru (0.4049, 0.7500, 0.8432)
Ru (0.5951, 0.2500, 0.1568)
Ru (0.9634, 0.2500, 0.8435)

## Properties
The space group is P2_1/m (11). The density of states at the Fermi level is 11.39 states/eV per cell.

x | This record from Alexandria describes crystalline CaAc4Ru2 at its relaxed geometry. The functional is GGA-PBE.

Unit cell a=7.2681 b=8.4185 c=9.2672 alpha=103.12 beta=97.30 gamma=107.20
Atoms (fractional coordinates):
Ca (0.0000, 0.0000, 0.0000)
Ca (0.0046, 0.4850, 0.0158)
Ac (0.2011, 0.3916, 0.4014)
Ac (0.2010, 0.8856, 0.4060)
Ac (0.3912, 0.2875, 0.8051)
Ac (0.3969, 0.7923, 0.8082)
Ac (0.5944, 0.2028, 0.2049)
Ac (0.6006, 0.6750, 0.2091)
Ac (0.7821, 0.0904, 0.6101)
Ac (0.7934, 0.5875, 0.6039)
Ru (0.3020, 0.3297, 0.0802)
Ru (0.4801, 0.2292, 0.5223)
Ru (0.5080, 0.7556, 0.5406)
Ru (0.9179, 0.5556, 0.3163)

## Properties
The space group is P1 (1). The density of states at the Fermi level is 7.50 states/eV per cell.

Tell me which of them is the least stable. Sure, it is w.

w | This record from Alexandria describes crystalline CaAc4Ru at its relaxed geometry. The functional is GGA-PBE.

Unit cell a=9.4142 b=9.4142 c=7.0204 alpha=103.56 beta=103.56 gamma=110.42
Atoms (fractional coordinates):
Ca (0.0893, 0.9107, 0.7500)
Ca (0.9107, 0.0893, 0.2500)
Ac (0.1427, 0.5650, 0.3443)
Ac (0.2633, 0.3850, 0.8132)
Ac (0.3850, 0.2633, 0.3132)
Ac (0.4350, 0.8573, 0.1557)
Ac (0.5650, 0.1427, 0.8443)
Ac (0.6150, 0.7367, 0.6868)
Ac (0.7367, 0.6150, 0.1868)
Ac (0.8573, 0.4350, 0.6557)
Ru (0.4201, 0.5799, 0.2500)
Ru (0.5799, 0.4201, 0.7500)

## Properties
The space group is C2/c (15). The density of states at the Fermi level is 14.39 states/eV per cell.

x | This record from Alexandria describes crystalline CaAc4Ru at its relaxed geometry. The functional is GGA-PBE.

Unit cell a=10.2948 b=10.2948 c=6.7921 alpha=107.08 beta=107.08 gamma=45.70
Atoms (fractional coordinates):
Ca (0.1945, 0.1945, 0.1799)
Ca (0.8055, 0.8055, 0.8201)
Ac (0.1379, 0.6402, 0.3844)
Ac (0.2555, 0.7445, 0.0000)
Ac (0.3152, 0.3152, 0.7920)
Ac (0.3598, 0.8621, 0.6156)
Ac (0.6402, 0.1379, 0.3844)
Ac (0.6848, 0.6848, 0.2080)
Ac (0.7445, 0.2555, 0.0000)
Ac (0.8621, 0.3598, 0.6156)
Ru (0.4630, 0.4630, 0.6565)
Ru (0.5370, 0.5370, 0.3435)

## Properties
The space group is C2/m (12). The density of states at the Fermi level is 13.72 states/eV per cell.

Tell me which of them is the least stable. Sure, it is w.

w | This record from Alexandria describes crystalline CaAcRu at its relaxed geometry. The functional is GGA-PBE.

Unit cell a=7.3844 b=7.3844 c=7.3844 alpha=151.58 beta=151.58 gamma=40.63
Atoms (fractional coordinates):
Ca (0.0000, 0.0000, 0.0000)
Ac (0.2463, 0.2463, 0.0000)
Ru (0.6277, 0.6277, 0.0000)

## Properties
The space group is I4mm (107). The density of states at the Fermi level is 3.78 states/eV per cell.

x | This record from Alexandria describes crystalline CaAcRu at its relaxed geometry. The functional is GGA-PBE.

Unit cell a=6.4039 b=6.4039 c=8.1744 alpha=123.29 beta=123.29 gamma=41.43
Atoms (fractional coordinates):
Ca (0.1940, 0.1940, 0.0885)
Ca (0.8060, 0.8060, 0.9115)
Ac (0.4126, 0.4126, 0.6384)
Ac (0.5874, 0.5874, 0.3616)
Ru (0.1306, 0.1306, 0.6282)
Ru (0.8694, 0.8694, 0.3718)

## Properties
The space group is C2/m (12). The density of states at the Fermi level is 4.95 states/eV per cell.

Tell me which of them is the least stable. Sure, it is w.

w | This record from Alexandria describes crystalline CaAc2Ru2 at its relaxed geometry. The functional is GGA-PBE.

Unit cell a=6.4426 b=6.4426 c=8.5977 alpha=105.27 beta=105.27 gamma=55.26
Atoms (fractional coordinates):
Ca (0.0985, 0.9015, 0.7500)
Ca (0.9015, 0.0985, 0.2500)
Ac (0.2123, 0.4862, 0.3550)
Ac (0.4862, 0.2123, 0.8550)
Ac (0.5138, 0.7877, 0.1450)
Ac (0.7877, 0.5138, 0.6450)
Ru (0.0152, 0.6731, 0.9722)
Ru (0.3269, 0.9848, 0.5278)
Ru (0.6731, 0.0152, 0.4722)
Ru (0.9848, 0.3269, 0.0278)

## Properties
The space group is C2/c (15). The density of states at the Fermi level is 8.69 states/eV per cell.

x | This record from Alexandria describes crystalline CaAc2Ru2 at its relaxed geometry. The functional is GGA-PBE.

Unit cell a=8.1353 b=8.1353 c=4.5948 alpha=90.00 beta=90.00 gamma=148.40
Atoms (fractional coordinates):
Ca (0.0000, 0.0000, 0.0000)
Ac (0.3527, 0.6473, 0.5000)
Ac (0.6473, 0.3527, 0.5000)
Ru (0.2192, 0.7808, 0.0000)
Ru (0.7808, 0.2192, 0.0000)

## Properties
The space group is Cmmm (65). The density of states at the Fermi level is 5.52 states/eV per cell.

Tell me which of them is the least stable. Sure, it is w.